Below is crystalline La3Mo2 at its relaxed geometry, with properties calculated at the GGA-PBE level.

The density of states at the Fermi level is 7.52 states/eV/f.u. Its energy of formation from the pure elements is 3.37 eV per formula unit.

Lattice parameters (Å, degrees): 12.1640 12.1640 12.1640 16.78 16.78 16.78
Last column: nearest neighbours and their distance in Å.
Element x y z (fractional)
La 0.0000 0.0000 0.0000  6 Mo 3.03
La 0.2126 0.2126 0.2126  3 Mo 2.94
La 0.7874 0.7874 0.7874  3 Mo 2.94
Mo 0.3953 0.3953 0.3953  6 La 2.94-3.03
Mo 0.6047 0.6047 0.6047  6 La 2.94-3.03